Record 1
LiVGeBr2 | PBE | relaxed

a = 5.502 Å, b = 5.502 Å, c = 4.810 Å
α = 90.00°, β = 90.00°, γ = 90.00°
Element x y z (fractional)
Li (0.000, 0.000, 0.000)
V (0.500, 0.500, 0.000)
Ge (0.000, 0.000, 0.500)
Br (0.000, 0.500, 0.500)
Br (0.500, 0.000, 0.500)

Output
Density of states at the Fermi level, states/eV/f.u.: 11.55
Space group: P4/mmm
Formation energy without anion corrections, eV/atom: 0.81

=====

Record 2
LiY2GeBr | PBE | relaxed

a = 5.401 Å, b = 5.401 Å, c = 4.176 Å
α = 90.00°, β = 90.00°, γ = 90.00°
Element x y z (fractional)
Li (0.000, 0.000, 0.000)
Y (0.000, 0.500, 0.000)
Y (0.500, 0.000, 0.000)
Ge (0.500, 0.500, 0.500)
Br (0.000, 0.000, 0.500)

Output
Density of states at the Fermi level, states/eV/f.u.: 6.34
Space group: P4/mmm
Formation energy without anion corrections, eV/atom: -0.01

=====

Record 3
LiYGe2Br | PBE | relaxed

a = 5.530 Å, b = 5.530 Å, c = 5.604 Å
α = 90.00°, β = 90.00°, γ = 90.00°
Element x y z (fractional)
Li (0.000, 0.000, 0.000)
Y (0.500, 0.500, 0.500)
Ge (0.000, 0.500, 0.500)
Ge (0.500, 0.000, 0.500)
Br (0.500, 0.500, 0.000)

Output
Density of states at the Fermi level, states/eV/f.u.: 4.84
Space group: P4/mmm
Formation energy without anion corrections, eV/atom: 0.05

=====

Record 4
LiZrGeBr2 | PBE | relaxed

a = 4.578 Å, b = 4.578 Å, c = 5.787 Å
α = 90.00°, β = 90.00°, γ = 90.00°
Element x y z (fractional)
Li (0.000, 0.000, 0.000)
Zr (0.000, 0.000, 0.500)
Ge (0.500, 0.500, 0.500)
Br (0.000, 0.500, 0.000)
Br (0.500, 0.000, 0.000)

Output
Density of states at the Fermi level, states/eV/f.u.: 1.66
Space group: P4/mmm
Formation energy without anion corrections, eV/atom: 0.13

=====

Record 5
MgGeBr3 | PBE | relaxed

a = 5.462 Å, b = 5.462 Å, c = 5.462 Å
α = 90.00°, β = 90.00°, γ = 90.00°
Element x y z (fractional)
Mg (0.000, 0.000, 0.000)
Ge (0.500, 0.500, 0.500)
Br (0.000, 0.500, 0.500)
Br (0.500, 0.000, 0.500)
Br (0.500, 0.500, 0.000)

Output
Density of states at the Fermi level, states/eV/f.u.: 1.59
ΔE to the lowest computed polymorph, meV per atom: 149
Space group: Pm-3m
Formation energy without anion corrections, eV/atom: -0.35

=====

Record 6
MgGeBr2 | PBE | relaxed

a = 7.245 Å, b = 7.245 Å, c = 7.245 Å
α = 90.00°, β = 90.00°, γ = 90.00°
Element x y z (fractional)
Mg (0.000, 0.000, 0.000)
Mg (0.000, 0.500, 0.500)
Mg (0.500, 0.000, 0.500)
Mg (0.500, 0.500, 0.000)
Ge (0.000, 0.000, 0.500)
Ge (0.000, 0.500, 0.000)
Ge (0.500, 0.000, 0.000)
Ge (0.500, 0.500, 0.500)
Br (0.250, 0.250, 0.250)
Br (0.250, 0.250, 0.750)
Br (0.250, 0.750, 0.250)
Br (0.250, 0.750, 0.750)
Br (0.750, 0.250, 0.250)
Br (0.750, 0.250, 0.750)
Br (0.750, 0.750, 0.250)
Br (0.750, 0.750, 0.750)

Output
Density of states at the Fermi level, states/eV/f.u.: 2.55
ΔE to the lowest computed polymorph, meV per atom: 195
Space group: Fm-3m
Formation energy without anion corrections, eV/atom: -0.11

=====

Record 7
MgGeBr | PBE | relaxed

a = 14.629 Å, b = 3.507 Å, c = 6.089 Å
α = 90.00°, β = 90.00°, γ = 90.00°
Element x y z (fractional)
Mg (0.137, 0.000, 0.000)
Mg (0.137, 0.500, 0.500)
Mg (0.863, 0.000, 0.000)
Mg (0.863, 0.500, 0.500)
Ge (0.000, 0.000, 0.667)
Ge (0.000, 0.500, 0.167)
Ge (0.500, 0.000, 0.859)
Ge (0.500, 0.500, 0.359)
Br (0.252, 0.000, 0.333)
Br (0.252, 0.500, 0.833)
Br (0.748, 0.000, 0.333)
Br (0.748, 0.500, 0.833)

Output
Density of states at the Fermi level, states/eV/f.u.: 1.04
Space group: Amm2
Formation energy without anion corrections, eV/atom: -0.38

=====

Record 8
MgGeBr2 | PBE | relaxed

a = 7.806 Å, b = 7.806 Å, c = 6.757 Å
α = 90.00°, β = 90.00°, γ = 90.00°
Element x y z (fractional)
Mg (0.000, 0.000, 0.000)
Mg (0.000, 0.500, 0.250)
Mg (0.500, 0.000, 0.750)
Mg (0.500, 0.500, 0.500)
Ge (0.000, 0.000, 0.500)
Ge (0.000, 0.500, 0.750)
Ge (0.500, 0.000, 0.250)
Ge (0.500, 0.500, 0.000)
Br (0.220, 0.250, 0.125)
Br (0.250, 0.720, 0.375)
Br (0.250, 0.780, 0.875)
Br (0.280, 0.250, 0.625)
Br (0.720, 0.750, 0.625)
Br (0.750, 0.220, 0.875)
Br (0.750, 0.280, 0.375)
Br (0.780, 0.750, 0.125)

Output
Density of states at the Fermi level, states/eV/f.u.: 0.60
ΔE to the lowest computed polymorph, meV per atom: 0
Space group: I-42d
Formation energy without anion corrections, eV/atom: -0.30

=====

Record 9
MgGeBr3 | PBE | relaxed

a = 5.225 Å, b = 5.225 Å, c = 5.225 Å
α = 90.00°, β = 90.00°, γ = 90.00°
Element x y z (fractional)
Mg (0.000, 0.000, 0.000)
Ge (0.500, 0.500, 0.500)
Br (0.000, 0.000, 0.500)
Br (0.000, 0.500, 0.000)
Br (0.500, 0.000, 0.000)

Output
Density of states at the Fermi level, states/eV/f.u.: 1.82
ΔE to the lowest computed polymorph, meV per atom: 0
Space group: Pm-3m
Formation energy without anion corrections, eV/atom: -0.50

=====

Record 10
MgGe2Br | PBE | relaxed

a = 7.104 Å, b = 7.104 Å, c = 7.104 Å
α = 90.00°, β = 90.00°, γ = 90.00°
Element x y z (fractional)
Mg (0.000, 0.000, 0.000)
Mg (0.000, 0.500, 0.500)
Mg (0.500, 0.000, 0.500)
Mg (0.500, 0.500, 0.000)
Ge (0.250, 0.250, 0.250)
Ge (0.250, 0.250, 0.750)
Ge (0.250, 0.750, 0.250)
Ge (0.250, 0.750, 0.750)
Ge (0.750, 0.250, 0.250)
Ge (0.750, 0.250, 0.750)
Ge (0.750, 0.750, 0.250)
Ge (0.750, 0.750, 0.750)
Br (0.000, 0.000, 0.500)
Br (0.000, 0.500, 0.000)
Br (0.500, 0.000, 0.000)
Br (0.500, 0.500, 0.500)

Output
Density of states at the Fermi level, states/eV/f.u.: 3.62
ΔE to the lowest computed polymorph, meV per atom: 417
Space group: Fm-3m
Formation energy without anion corrections, eV/atom: 0.35

=====

Record 11
MgGe2Br8 | PBE | relaxed

a = 8.512 Å, b = 8.512 Å, c = 6.486 Å
α = 98.61°, β = 98.61°, γ = 81.03°
Element x y z (fractional)
Mg (0.000, 0.000, 0.000)
Ge (0.208, 0.208, 0.704)
Ge (0.792, 0.792, 0.296)
Br (0.074, 0.740, 0.201)
Br (0.183, 0.183, 0.309)
Br (0.260, 0.926, 0.799)
Br (0.398, 0.398, 0.890)
Br (0.602, 0.602, 0.110)
Br (0.740, 0.074, 0.201)
Br (0.817, 0.817, 0.691)
Br (0.926, 0.260, 0.799)

Output
Space group: C2/m
Formation energy without anion corrections, eV/atom: -0.71

=====

Record 12
Mg5GeBr12 | PBE | relaxed

a = 6.785 Å, b = 6.785 Å, c = 14.259 Å
α = 90.03°, β = 90.03°, γ = 120.03°
Element x y z (fractional)
Mg (0.000, 0.000, 0.000)
Mg (0.167, 0.833, 0.500)
Mg (0.333, 0.667, 0.000)
Mg (0.667, 0.333, 0.000)
Mg (0.833, 0.167, 0.500)
Ge (0.500, 0.500, 0.500)
Br (0.000, 0.333, 0.895)
Br (0.000, 0.667, 0.105)
Br (0.151, 0.500, 0.392)
Br (0.152, 0.152, 0.608)
Br (0.333, 0.000, 0.895)
Br (0.334, 0.334, 0.105)
Br (0.500, 0.151, 0.392)
Br (0.500, 0.849, 0.608)
Br (0.666, 0.666, 0.895)
Br (0.667, 0.000, 0.105)
Br (0.848, 0.848, 0.392)
Br (0.849, 0.500, 0.608)

Output
Density of states at the Fermi level, states/eV/f.u.: 0.00
Space group: C2/m
Formation energy without anion corrections, eV/atom: -1.33

=====

Record 13
MgGe3Br8 | PBE | relaxed

a = 8.062 Å, b = 8.062 Å, c = 8.493 Å
α = 118.71°, β = 118.71°, γ = 60.02°
Element x y z (fractional)
Mg (0.000, 0.000, 0.000)
Ge (0.000, 0.500, 0.000)
Ge (0.500, 0.000, 0.000)
Ge (0.500, 0.500, 0.000)
Br (0.234, 0.234, 0.220)
Br (0.234, 0.755, 0.220)
Br (0.245, 0.766, 0.780)
Br (0.256, 0.256, 0.770)
Br (0.744, 0.744, 0.230)
Br (0.755, 0.234, 0.220)
Br (0.766, 0.245, 0.780)
Br (0.766, 0.766, 0.780)

Output
Density of states at the Fermi level, states/eV/f.u.: 0.00
Space group: C2/m
Formation energy without anion corrections, eV/atom: -0.79

=====

Record 14
Mg3GeBr | PBE | relaxed

a = 5.171 Å, b = 5.171 Å, c = 5.171 Å
α = 90.00°, β = 90.00°, γ = 90.00°
Element x y z (fractional)
Mg (0.000, 0.000, 0.500)
Mg (0.000, 0.500, 0.000)
Mg (0.500, 0.000, 0.000)
Ge (0.000, 0.000, 0.000)
Br (0.500, 0.500, 0.500)

Output
Density of states at the Fermi level, states/eV/f.u.: 3.17
ΔE to the lowest computed polymorph, meV per atom: 0
Space group: Pm-3m
Formation energy without anion corrections, eV/atom: -0.19

=====

Record 15
MgGe2Br | PBE | relaxed

a = 3.874 Å, b = 3.874 Å, c = 24.539 Å
α = 90.00°, β = 90.00°, γ = 90.00°
Element x y z (fractional)
Mg (0.000, 0.000, 0.000)
Mg (0.000, 0.500, 0.250)
Mg (0.500, 0.000, 0.750)
Mg (0.500, 0.500, 0.500)
Ge (0.217, 0.250, 0.125)
Ge (0.250, 0.717, 0.375)
Ge (0.250, 0.783, 0.875)
Ge (0.283, 0.250, 0.625)
Ge (0.717, 0.750, 0.625)
Ge (0.750, 0.217, 0.875)
Ge (0.750, 0.283, 0.375)
Ge (0.783, 0.750, 0.125)
Br (0.000, 0.000, 0.500)
Br (0.000, 0.500, 0.750)
Br (0.500, 0.000, 0.250)
Br (0.500, 0.500, 0.000)

Output
Density of states at the Fermi level, states/eV/f.u.: 2.05
ΔE to the lowest computed polymorph, meV per atom: 0
Space group: I-42d
Formation energy without anion corrections, eV/atom: -0.07

=====

Record 16
RbMgGe2Br | PBE | relaxed

a = 5.597 Å, b = 5.597 Å, c = 5.373 Å
α = 90.00°, β = 90.00°, γ = 90.00°
Element x y z (fractional)
Rb (0.000, 0.000, 0.000)
Mg (0.500, 0.500, 0.000)
Ge (0.000, 0.500, 0.500)
Ge (0.500, 0.000, 0.500)
Br (0.500, 0.500, 0.500)

Output
Density of states at the Fermi level, states/eV/f.u.: 3.99
Space group: P4/mmm
Formation energy without anion corrections, eV/atom: 0.46

=====

Record 17
Rb2MgGeBr6 | PBE | relaxed

a = 7.767 Å, b = 7.767 Å, c = 7.767 Å
α = 60.00°, β = 60.00°, γ = 60.00°
Element x y z (fractional)
Rb (0.250, 0.250, 0.250)
Rb (0.750, 0.750, 0.750)
Mg (0.000, 0.000, 0.000)
Ge (0.500, 0.500, 0.500)
Br (0.245, 0.245, 0.755)
Br (0.245, 0.755, 0.245)
Br (0.245, 0.755, 0.755)
Br (0.755, 0.245, 0.245)
Br (0.755, 0.245, 0.755)
Br (0.755, 0.755, 0.245)

Output
Density of states at the Fermi level, states/eV/f.u.: 0.00
Space group: Fm-3m
Formation energy without anion corrections, eV/atom: -1.30

=====

Record 18
MgGeSeBr2 | PBE | relaxed

a = 5.007 Å, b = 5.007 Å, c = 5.424 Å
α = 90.00°, β = 90.00°, γ = 90.00°
Element x y z (fractional)
Mg (0.000, 0.000, 0.000)
Ge (0.500, 0.500, 0.500)
Se (0.000, 0.000, 0.500)
Br (0.000, 0.500, 0.000)
Br (0.500, 0.000, 0.000)

Output
Density of states at the Fermi level, states/eV/f.u.: 0.02
ΔE to the lowest computed polymorph, meV per atom: 0
Space group: P4/mmm
Formation energy without anion corrections, eV/atom: -0.33

=====

Record 19
MgGeSe2Br | PBE | relaxed

a = 5.085 Å, b = 5.085 Å, c = 5.068 Å
α = 90.00°, β = 90.00°, γ = 90.00°
Element x y z (fractional)
Mg (0.000, 0.000, 0.000)
Ge (0.500, 0.500, 0.500)
Se (0.000, 0.500, 0.000)
Se (0.500, 0.000, 0.000)
Br (0.000, 0.000, 0.500)

Output
Density of states at the Fermi level, states/eV/f.u.: 4.75
ΔE to the lowest computed polymorph, meV per atom: 9
Space group: P4/mmm
Formation energy without anion corrections, eV/atom: -0.07

=====

Record 20
MgGe2SeBr | PBE | relaxed

a = 5.304 Å, b = 5.304 Å, c = 4.791 Å
α = 90.00°, β = 90.00°, γ = 90.00°
Element x y z (fractional)
Mg (0.000, 0.000, 0.000)
Ge (0.000, 0.500, 0.000)
Ge (0.500, 0.000, 0.000)
Se (0.500, 0.500, 0.500)
Br (0.000, 0.000, 0.500)

Output
Density of states at the Fermi level, states/eV/f.u.: 2.56
Space group: P4/mmm
Formation energy without anion corrections, eV/atom: 0.38

=====

Record 21
MgGeSeBr2 | PBE | relaxed

a = 5.253 Å, b = 5.253 Å, c = 5.224 Å
α = 90.00°, β = 90.00°, γ = 90.00°
Element x y z (fractional)
Mg (0.000, 0.000, 0.000)
Ge (0.500, 0.500, 0.500)
Se (0.500, 0.500, 0.000)
Br (0.000, 0.500, 0.500)
Br (0.500, 0.000, 0.500)

Output
Density of states at the Fermi level, states/eV/f.u.: 0.99
ΔE to the lowest computed polymorph, meV per atom: 131
Space group: P4/mmm
Formation energy without anion corrections, eV/atom: -0.20

=====

Record 22
MgGeSe2Br | PBE | relaxed

a = 5.059 Å, b = 5.059 Å, c = 5.182 Å
α = 90.00°, β = 90.00°, γ = 90.00°
Element x y z (fractional)
Mg (0.000, 0.000, 0.000)
Ge (0.500, 0.500, 0.500)
Se (0.000, 0.500, 0.500)
Se (0.500, 0.000, 0.500)
Br (0.500, 0.500, 0.000)

Output
Density of states at the Fermi level, states/eV/f.u.: 1.44
ΔE to the lowest computed polymorph, meV per atom: 0
Space group: P4/mmm
Formation energy without anion corrections, eV/atom: -0.07

=====

Record 23
Mg2SnGeBr | PBE | relaxed

a = 5.535 Å, b = 5.535 Å, c = 5.270 Å
α = 90.00°, β = 90.00°, γ = 90.00°
Element x y z (fractional)
Mg (0.000, 0.500, 0.000)
Mg (0.500, 0.000, 0.000)
Sn (0.000, 0.000, 0.000)
Ge (0.000, 0.000, 0.500)
Br (0.500, 0.500, 0.500)

Output
Density of states at the Fermi level, states/eV/f.u.: 4.68
Space group: P4/mmm
Formation energy without anion corrections, eV/atom: 0.22

=====

Record 24
MgSnGeBr6 | PBE | relaxed

a = 6.765 Å, b = 6.765 Å, c = 12.623 Å
α = 90.00°, β = 90.00°, γ = 90.00°
Element x y z (fractional)
Mg (0.000, 0.000, 0.000)
Mg (0.500, 0.500, 0.500)
Sn (0.000, 0.000, 0.333)
Sn (0.500, 0.500, 0.833)
Ge (0.000, 0.000, 0.667)
Ge (0.500, 0.500, 0.167)
Br (0.185, 0.185, 0.837)
Br (0.199, 0.199, 0.153)
Br (0.213, 0.213, 0.507)
Br (0.287, 0.713, 0.007)
Br (0.301, 0.699, 0.653)
Br (0.315, 0.685, 0.337)
Br (0.685, 0.315, 0.337)
Br (0.699, 0.301, 0.653)
Br (0.713, 0.287, 0.007)
Br (0.787, 0.787, 0.507)
Br (0.801, 0.801, 0.153)
Br (0.815, 0.815, 0.837)

Output
Density of states at the Fermi level, states/eV/f.u.: 0.00
Space group: P4_2nm
Formation energy without anion corrections, eV/atom: -0.88

=====

Record 25
MgTaGe2Br | PBE | relaxed

a = 4.857 Å, b = 4.857 Å, c = 5.369 Å
α = 90.00°, β = 90.00°, γ = 90.00°
Element x y z (fractional)
Mg (0.000, 0.000, 0.000)
Ta (0.000, 0.000, 0.500)
Ge (0.000, 0.500, 0.000)
Ge (0.500, 0.000, 0.000)
Br (0.500, 0.500, 0.500)

Output
Density of states at the Fermi level, states/eV/f.u.: 4.98
ΔE to the lowest computed polymorph, meV per atom: 921
Space group: P4/mmm
Formation energy without anion corrections, eV/atom: 1.28

=====

Record 26
Mg2TaGeBr | PBE | relaxed

a = 5.056 Å, b = 5.056 Å, c = 5.415 Å
α = 90.00°, β = 90.00°, γ = 90.00°
Element x y z (fractional)
Mg (0.000, 0.500, 0.000)
Mg (0.500, 0.000, 0.000)
Ta (0.000, 0.000, 0.500)
Ge (0.500, 0.500, 0.000)
Br (0.500, 0.500, 0.500)

Output
Density of states at the Fermi level, states/eV/f.u.: 4.02
Space group: P4/mmm
Formation energy without anion corrections, eV/atom: 1.15